NpVHgO6 | PBE+U | relaxed

Computed properties:
total moment: 2.00 μB per formula unit
VASP energy: -7.507 eV per atom

a = 5.4158 Å, b = 5.4158 Å, c = 9.7844 Å
α = 90.00°, β = 90.00°, γ = 120.00°
Space group P-31c (No. 163)
Symmetry-distinct sites (fractional):
Np: 0.3333 0.6667 0.2500 (multiplicity 2)
V: 0.3333 0.6667 0.7500 (multiplicity 2)
Hg: 0.0000 0.0000 0.0000 (multiplicity 2)
O: 0.0146 0.3726 0.6425 (multiplicity 12)